Entry 1:
Entry from Alexandria: a relaxed RbNb3O crystal (PBE).

a b c (Å): 4.4936 4.4936 4.4936
angles (deg): 90.00 90.00 90.00
With the nearest neighbours (Å) after each atom.
Positions (direct):
Nb 0.0000 0.5000 0.0000  2 O 2.25
Nb 0.0000 0.0000 0.5000  2 O 2.25
Nb 0.5000 0.0000 0.0000  2 O 2.25
O 0.0000 0.0000 0.0000  6 Nb 2.25
Rb 0.5000 0.5000 0.5000  12 Nb 3.18

Output
N(E_F) (states/eV per atom): 1.281
ΔE_f (raw) (eV per atom): 0.548
ΔE to the lowest computed polymorph (eV/f.u.): 0.00

---

Entry 2:
Entry from Alexandria: a relaxed RbNb3O crystal (PBE).

a b c (Å): 4.7860 4.7860 4.7860
angles (deg): 90.00 90.00 90.00
With the nearest neighbours (Å) after each atom.
Positions (direct):
Nb 0.0000 0.5000 0.0000  2 Rb 2.39
Nb 0.0000 0.0000 0.5000  2 Rb 2.39
Nb 0.5000 0.0000 0.0000  2 Rb 2.39
O 0.5000 0.5000 0.5000  12 Nb 3.38
Rb 0.0000 0.0000 0.0000  6 Nb 2.39

Output
N(E_F) (states/eV per atom): 1.320
ΔE_f (raw) (eV per atom): 3.242
ΔE to the lowest computed polymorph (eV/f.u.): 13.47

---

Entry 3:
Entry from Alexandria: a relaxed Rb3Nb2O7 crystal (PBE).

a b c (Å): 4.1001 4.1001 11.8936
angles (deg): 99.93 99.93 90.00
With the nearest neighbours (Å) after each atom.
Positions (direct):
Rb 0.3092 0.3092 0.6184  9 O 2.92-3.09
Rb 0.6908 0.6908 0.3816  9 O 2.92-3.09
Rb 0.5000 0.5000 0.0000  12 O 2.90-2.93
Nb 0.0954 0.0954 0.1908  5 O 1.87-2.05
Nb 0.9046 0.9046 0.8092  5 O 1.87-2.05
O 0.0000 0.0000 0.0000  2 Nb 2.20
O 0.9094 0.4094 0.8189  2 Nb 2.05
O 0.4094 0.9094 0.8189  2 Nb 2.05
O 0.0906 0.5906 0.1811  2 Nb 2.05
O 0.5906 0.0906 0.1811  2 Nb 2.05
O 0.1766 0.1766 0.3531  1 Nb 1.87
O 0.8234 0.8234 0.6469  1 Nb 1.87

Output
N(E_F) (states/eV per atom): 0.328
ΔE_f (raw) (eV per atom): -2.136